{"formula": "Li4TiTe3O12", "functional": "PBE", "state": "optimized geometry", "m_tot_mub_per_cell": 0.0, "n_ef_per_ev_fu": 0.00, "e_tot_ev_per_cell": -117.772, "density_g_cm3": 4.6, "formation_energy_uncorrected_mev_per_atom": -1665, "cell": [[5.074, 0.000, 0.000], [0.000, 8.837, 0.000], [-0.361, 0.000, 5.197]], "species": ["Li", "Li", "Li", "Li", "Ti", "Te", "Te", "Te", "O", "O", "O", "O", "O", "O", "O", "O", "O", "O", "O", "O"], "fractional_positions": [[0.000, 0.000, 0.000], [0.000, 0.296, 0.500], [0.500, 0.469, 0.500], [0.500, 0.862, 0.000], [0.500, 0.059, 0.500], [0.000, 0.562, 0.000], [0.000, 0.763, 0.500], [0.500, 0.243, 0.000], [0.202, 0.742, 0.834], [0.216, 0.604, 0.353], [0.234, 0.913, 0.365], [0.284, 0.390, 0.811], [0.290, 0.221, 0.298], [0.304, 0.075, 0.815], [0.696, 0.075, 0.185], [0.710, 0.221, 0.702], [0.716, 0.390, 0.189], [0.766, 0.913, 0.635], [0.784, 0.604, 0.647], [0.798, 0.742, 0.166]]}